First-principles (PBE) data for a relaxed structure of Pr3NdHo6, as listed in Alexandria.

Calculated values
**Total magnetization**: 0.000 μB/cell
**Calculated volume**: 351.6 Å³/cell
**VASP energy**: -4.36 eV per atom
**E above lowest polymorph**: 152 meV/atom

a = 8.6530 Å, b = 8.9741 Å, c = 6.3250 Å
α = 98.04°, β = 133.16°, γ = 90.00°
Positions (direct):
Ho 0.6177 0.8708 0.2355
Ho 0.0589 0.6451 0.7556
Ho 0.9411 0.3549 0.2444
Ho 0.3032 0.3549 0.2444
Ho 0.3823 0.1292 0.7645
Ho 0.6968 0.6451 0.7556
Nd 0.5000 0.5000 0.0000
Pr 0.7848 0.2644 0.5696
Pr 0.2152 0.7356 0.4304
Pr 0.0000 0.0000 0.0000